[1]
A relaxed Sn3Pd crystal, computed with GGA-PBE.

POSCAR file:
```
Sn3Pd
1.0
-1.691 2.284 6.290
1.691 -2.284 6.290
1.691 2.284 -6.290
Sn Pd
3 1
Cartesian
0.000 0.000 0.000
1.691 0.000 3.938
0.000 2.284 2.352
0.000 0.000 6.290
```

Results
ΔH_f (0 K): -0.16 eV/atom
Symmetry: No. 71
Distance to the lowest polymorph of the same formula: 0.122 eV per atom
Energy: -4.462 eV/atom

***

[2]
A relaxed NdGa3Ni crystal, computed with GGA-PBE.

POSCAR file:
```
NdGa3Ni
1.0
-2.075 2.075 5.322
2.075 -2.075 5.322
2.075 2.075 -5.322
Nd Ga Ni
1 3 1
Cartesian
0.000 0.000 0.000
0.000 0.000 4.059
0.000 0.000 6.586
0.000 2.075 2.661
2.075 0.000 2.661
```

Results
ΔH_f (0 K): -0.54 eV/atom
Symmetry: No. 119
Distance to the lowest polymorph of the same formula: 0.073 eV per atom
Energy: -4.464 eV/atom

***

[3]
A relaxed NbAl2As crystal, computed with GGA-PBE.

POSCAR file:
```
NbAl2As
1.0
-3.676 3.676 2.677
3.676 -3.676 2.677
3.676 3.676 -2.677
Nb Al As
2 4 2
Cartesian
0.000 0.000 0.000
0.000 3.676 1.338
1.838 -1.641 2.007
2.035 1.838 0.669
1.838 5.317 -0.669
1.641 1.838 3.346
3.676 0.000 1.338
0.000 0.000 2.677
```

Results
ΔH_f (0 K): 0.14 eV/atom
Symmetry: No. 122
Energy: -5.408 eV/atom

***

[4]
A relaxed Hf3Co crystal, computed with GGA-PBE.

POSCAR file:
```
Hf3Co
1.0
4.234 0.000 0.000
0.000 4.234 0.000
0.000 0.000 4.234
Hf Co
3 1
Cartesian
0.000 0.000 2.117
0.000 2.117 0.000
2.117 0.000 0.000
2.117 2.117 2.117
```

Results
ΔH_f (0 K): 0.13 eV/atom
Symmetry: No. 221
Energy: -9.114 eV/atom

***

What is the energy in the third record? -5.408 eV/atom

***

Please write out number 1 again, unchanged.
A relaxed Sn3Pd crystal, computed with GGA-PBE.

POSCAR file:
```
Sn3Pd
1.0
-1.691 2.284 6.290
1.691 -2.284 6.290
1.691 2.284 -6.290
Sn Pd
3 1
Cartesian
0.000 0.000 0.000
1.691 0.000 3.938
0.000 2.284 2.352
0.000 0.000 6.290
```

Results
ΔH_f (0 K): -0.16 eV/atom
Symmetry: No. 71
Distance to the lowest polymorph of the same formula: 0.122 eV per atom
Energy: -4.462 eV/atom

***

What is the formula in the third record? NbAl2As

***

Which value of ΔH_f (0 K) does entry 1 give? -0.16 eV/atom